No. 1
Crystalline NbInCuPd at its relaxed geometry, computed with PBE.

The calculated volume comes out at 270.4 Å³ per cell. For the total DFT energy (no corrections), the calculation gives -5.41 eV/atom. For the excess energy over the best structure of this formula in the dataset, the calculation gives 0.53 eV/f.u.

```
NbInCuPd
1.0
6.4664 0.0000 0.0000
0.0000 6.4664 0.0000
0.0000 0.0000 6.4664
Nb In Cu Pd
4 4 4 4
Cartesian
0.0000 0.0000 0.0000
0.0000 3.2332 3.2332
3.2332 0.0000 3.2332
3.2332 3.2332 0.0000
1.6166 1.6166 1.6166
1.6166 4.8498 4.8498
4.8498 1.6166 4.8498
4.8498 4.8498 1.6166
0.0000 0.0000 3.2332
0.0000 3.2332 0.0000
3.2332 0.0000 0.0000
3.2332 3.2332 3.2332
1.6166 1.6166 4.8498
1.6166 4.8498 1.6166
4.8498 1.6166 1.6166
4.8498 4.8498 4.8498
```

No. 2
Crystalline ZrTl2AuBr6 at its relaxed geometry, computed with PBE.

The calculated volume comes out at 340.0 Å³ per cell. For the total DFT energy (no corrections), the calculation gives -3.41 eV/atom.

```
ZrTl2AuBr6
1.0
0.0000 5.5396 5.5396
5.5396 0.0000 5.5396
5.5396 5.5396 0.0000
Zr Tl Au Br
1 2 1 6
Cartesian
0.0000 0.0000 0.0000
2.7698 2.7698 2.7698
8.3094 8.3094 8.3094
5.5396 5.5396 5.5396
5.5396 5.5396 2.6639
5.5396 2.6639 5.5396
8.4152 5.5396 5.5396
2.6639 5.5396 5.5396
5.5396 8.4152 5.5396
5.5396 5.5396 8.4152
```

No. 3
Crystalline Tb3SbAs2 at its relaxed geometry, computed with PBE.

The calculated volume comes out at 159.4 Å³ per cell. For the total DFT energy (no corrections), the calculation gives -5.95 eV/atom.

```
Tb3SbAs2
1.0
4.2029 0.0000 0.0000
-2.1014 3.6398 0.0000
0.0000 0.0000 10.4182
Tb Sb As
3 1 2
Cartesian
0.0000 0.0000 0.0000
0.0000 2.4265 3.3041
2.1014 1.2133 7.1141
0.0000 0.0000 5.2091
0.0000 2.4265 8.7505
2.1014 1.2133 1.6677
```

No. 4
Crystalline Pr2SmIn3PtAu2 at its relaxed geometry, computed with PBE.

The calculated volume comes out at 218.6 Å³ per cell. For the total DFT energy (no corrections), the calculation gives -4.71 eV/atom.

```
Pr2SmIn3PtAu2
1.0
4.0934 0.0000 0.0000
0.0000 6.7967 3.9294
0.0000 -6.7967 3.9294
Pr Sm In Pt Au
2 1 3 1 2
Cartesian
0.0000 -4.0427 3.9294
0.0000 4.0427 3.9294
0.0000 0.0000 4.7675
2.0467 -1.6888 2.5845
2.0467 1.6888 2.5845
2.0467 0.0000 7.4822
0.0000 0.0000 1.6160
2.0467 -2.2341 5.5153
2.0467 2.2341 5.5153
```

No. 5
Crystalline PuGaTc at its relaxed geometry, computed with PBE.

The calculated volume comes out at 238.1 Å³ per cell. For the total DFT energy (no corrections), the calculation gives -8.85 eV/atom. For the excess energy over the best structure of this formula in the dataset, the calculation gives 0.00 eV/f.u.

```
PuGaTc
1.0
6.1982 0.0000 0.0000
0.0000 6.1982 0.0000
0.0000 0.0000 6.1982
Pu Ga Tc
4 4 4
Cartesian
0.0000 0.0000 0.0000
0.0000 3.0991 3.0991
3.0991 0.0000 3.0991
3.0991 3.0991 0.0000
1.5496 1.5496 1.5496
1.5496 4.6487 4.6487
4.6487 1.5496 4.6487
4.6487 4.6487 1.5496
0.0000 0.0000 3.0991
0.0000 3.0991 0.0000
3.0991 0.0000 0.0000
3.0991 3.0991 3.0991
```

No. 6
Crystalline Ba3Ta6Si4O26 at its relaxed geometry, computed with PBE.

The calculated volume comes out at 542.7 Å³ per cell. For the total DFT energy (no corrections), the calculation gives -8.79 eV/atom.

```
Ba3Ta6Si4O26
1.0
9.0156 0.0000 0.0000
-4.5078 7.8077 0.0000
0.0000 0.0000 7.7103
Ba Ta Si O
3 6 4 26
Cartesian
-2.7269 4.7231 0.0000
1.7809 3.0846 0.0000
5.4538 0.0000 0.0000
-1.0749 1.8618 1.9802
-1.0749 1.8618 5.7301
2.1498 0.0000 1.9802
2.1498 0.0000 5.7301
3.4329 5.9459 1.9802
3.4329 5.9459 5.7301
0.0000 5.2051 2.2483
0.0000 5.2051 5.4620
4.5078 2.6026 2.2483
4.5078 2.6026 5.4620
-0.9866 1.7088 0.0000
-1.2997 2.2512 3.8551
-3.6896 6.3905 2.1215
-3.6896 6.3905 5.5888
0.8182 1.4172 2.1215
0.8182 1.4172 5.5888
-0.5602 3.8081 1.6262
-0.5602 3.8081 6.0841
1.9732 0.0000 0.0000
2.5995 0.0000 3.8551
-0.9298 6.3888 1.6262
-0.9298 6.3888 6.0841
0.0000 5.2051 3.8551
3.5780 1.4189 1.6262
3.5780 1.4189 6.0841
1.4900 5.4185 1.6262
1.4900 5.4185 6.0841
4.5078 2.6026 3.8551
3.9476 3.9996 1.6262
3.9476 3.9996 6.0841
3.2080 5.5565 3.8551
3.5212 6.0989 0.0000
7.3791 0.0000 2.1215
7.3791 0.0000 5.5888
5.9977 2.3892 1.6262
5.9977 2.3892 6.0841
```

No. 7
Crystalline MgTaAlFe at its relaxed geometry, computed with PBE.

The calculated volume comes out at 238.7 Å³ per cell. For the total DFT energy (no corrections), the calculation gives -6.37 eV/atom. For the excess energy over the best structure of this formula in the dataset, the calculation gives 0.15 eV/f.u.

```
MgTaAlFe
1.0
6.2031 0.0000 0.0000
0.0000 6.2031 0.0000
0.0000 0.0000 6.2031
Mg Ta Al Fe
4 4 4 4
Cartesian
0.0000 0.0000 0.0000
0.0000 3.1015 3.1015
3.1015 0.0000 3.1015
3.1015 3.1015 0.0000
0.0000 0.0000 3.1015
0.0000 3.1015 0.0000
3.1015 0.0000 0.0000
3.1015 3.1015 3.1015
1.5508 1.5508 1.5508
1.5508 4.6523 4.6523
4.6523 1.5508 4.6523
4.6523 4.6523 1.5508
1.5508 1.5508 4.6523
1.5508 4.6523 1.5508
4.6523 1.5508 1.5508
4.6523 4.6523 4.6523
```

No. 8
Crystalline ErTm2P3 at its relaxed geometry, computed with PBE.

The calculated volume comes out at 131.0 Å³ per cell. For the total DFT energy (no corrections), the calculation gives -6.56 eV/atom.

```
ErTm2P3
1.0
3.9512 0.0000 0.0000
-1.9756 3.4219 0.0000
0.0000 0.0000 9.6913
Er Tm P
1 2 3
Cartesian
0.0000 0.0000 0.0000
0.0000 2.2812 3.2327
1.9756 1.1406 6.4586
0.0000 0.0000 4.8457
0.0000 2.2812 8.0692
1.9756 1.1406 1.6222
```